#one
# PBE with a Hubbard U Li2CrP2O7, relaxed
data_Li2CrP2O7
_cell_length_a 5.641
_cell_length_b 6.386
_cell_length_c 8.853
_cell_angle_alpha 108.51
_cell_angle_beta 95.50
_cell_angle_gamma 105.59
_symmetry_space_group_name_H-M 'P 1'
_symmetry_Int_Tables_number 1
loop_
_symmetry_equiv_pos_as_xyz
'x,y,z'
loop_
_atom_site_label
_atom_site_type_symbol
_atom_site_fract_x
_atom_site_fract_y
_atom_site_fract_z
Li1 Li 0.156 0.263 0.458
Li2 Li 0.283 0.709 0.271
Li3 Li 0.717 0.291 0.729
Li4 Li 0.844 0.737 0.542
Cr1 Cr 0.123 0.116 0.879
Cr2 Cr 0.877 0.884 0.121
P1 P 0.244 0.653 0.906
P2 P 0.381 0.800 0.625
P3 P 0.619 0.200 0.375
P4 P 0.756 0.347 0.094
O1 O 0.069 0.809 0.927
O2 O 0.081 0.396 0.825
O3 O 0.192 0.938 0.656
O4 O 0.278 0.589 0.467
O5 O 0.350 0.054 0.364
O6 O 0.411 0.708 0.777
O7 O 0.424 0.710 0.062
O8 O 0.576 0.290 0.938
O9 O 0.589 0.292 0.223
O10 O 0.650 0.946 0.636
O11 O 0.722 0.411 0.533
O12 O 0.808 0.062 0.344
O13 O 0.919 0.604 0.175
O14 O 0.931 0.191 0.073
# Symmetry: P-1, No. 2

#two
# PBE with a Hubbard U Li2CrP2O7, relaxed
data_Li2CrP2O7
_cell_length_a 8.455
_cell_length_b 5.178
_cell_length_c 14.541
_cell_angle_alpha 90.00
_cell_angle_beta 117.54
_cell_angle_gamma 90.00
_symmetry_space_group_name_H-M 'P 1'
_symmetry_Int_Tables_number 1
loop_
_symmetry_equiv_pos_as_xyz
'x,y,z'
loop_
_atom_site_label
_atom_site_type_symbol
_atom_site_fract_x
_atom_site_fract_y
_atom_site_fract_z
Li1 Li 0.008 0.184 0.074
Li2 Li 0.008 0.316 0.574
Li3 Li 0.430 0.162 0.302
Li4 Li 0.430 0.338 0.802
Li5 Li 0.570 0.662 0.198
Li6 Li 0.570 0.838 0.698
Li7 Li 0.992 0.684 0.426
Li8 Li 0.992 0.816 0.926
Cr1 Cr 0.272 0.211 0.507
Cr2 Cr 0.272 0.289 0.007
Cr3 Cr 0.728 0.711 0.993
Cr4 Cr 0.728 0.789 0.493
P1 P 0.188 0.696 0.154
P2 P 0.188 0.804 0.654
P3 P 0.301 0.676 0.378
P4 P 0.301 0.824 0.878
P5 P 0.699 0.176 0.122
P6 P 0.699 0.324 0.622
P7 P 0.812 0.196 0.346
P8 P 0.812 0.304 0.846
O1 O 0.008 0.696 0.569
O2 O 0.008 0.804 0.069
O3 O 0.156 0.701 0.255
O4 O 0.156 0.799 0.755
O5 O 0.207 0.702 0.935
O6 O 0.207 0.798 0.435
O7 O 0.214 0.089 0.632
O8 O 0.214 0.411 0.132
O9 O 0.334 0.116 0.898
O10 O 0.334 0.384 0.398
O11 O 0.347 0.634 0.673
O12 O 0.347 0.866 0.173
O13 O 0.464 0.667 0.891
O14 O 0.464 0.833 0.391
O15 O 0.536 0.167 0.609
O16 O 0.536 0.333 0.109
O17 O 0.653 0.134 0.827
O18 O 0.653 0.366 0.327
O19 O 0.666 0.616 0.602
O20 O 0.666 0.884 0.102
O21 O 0.786 0.589 0.868
O22 O 0.786 0.911 0.368
O23 O 0.793 0.202 0.565
O24 O 0.793 0.298 0.065
O25 O 0.844 0.201 0.245
O26 O 0.844 0.299 0.745
O27 O 0.992 0.196 0.931
O28 O 0.992 0.304 0.431
# Symmetry: P2_1/c, No. 14

Bottom line: #two, by a margin of 12 meV per atom.

#one
# PBE with a Hubbard U Li2CrP2O7, relaxed
data_Li2CrP2O7
_cell_length_a 5.125
_cell_length_b 13.853
_cell_length_c 9.209
_cell_angle_alpha 90.00
_cell_angle_beta 120.59
_cell_angle_gamma 90.00
_symmetry_space_group_name_H-M 'P 1'
_symmetry_Int_Tables_number 1
loop_
_symmetry_equiv_pos_as_xyz
'x,y,z'
loop_
_atom_site_label
_atom_site_type_symbol
_atom_site_fract_x
_atom_site_fract_y
_atom_site_fract_z
Li1 Li 0.053 0.097 0.357
Li2 Li 0.053 0.403 0.857
Li3 Li 0.429 0.194 0.171
Li4 Li 0.429 0.306 0.671
Li5 Li 0.571 0.694 0.329
Li6 Li 0.571 0.806 0.829
Li7 Li 0.947 0.597 0.143
Li8 Li 0.947 0.903 0.643
Cr1 Cr 0.012 0.157 0.731
Cr2 Cr 0.012 0.343 0.231
Cr3 Cr 0.988 0.657 0.769
Cr4 Cr 0.988 0.843 0.269
P1 P 0.269 0.674 0.531
P2 P 0.269 0.826 0.031
P3 P 0.492 0.525 0.776
P4 P 0.492 0.975 0.276
P5 P 0.508 0.025 0.724
P6 P 0.508 0.475 0.224
P7 P 0.731 0.174 0.969
P8 P 0.731 0.326 0.469
O1 O 0.010 0.184 0.146
O2 O 0.010 0.316 0.646
O3 O 0.218 0.722 0.666
O4 O 0.218 0.778 0.166
O5 O 0.245 0.529 0.824
O6 O 0.245 0.971 0.324
O7 O 0.252 0.100 0.624
O8 O 0.252 0.400 0.124
O9 O 0.318 0.560 0.577
O10 O 0.318 0.940 0.077
O11 O 0.385 0.574 0.221
O12 O 0.385 0.926 0.721
O13 O 0.438 0.210 0.957
O14 O 0.438 0.290 0.457
O15 O 0.562 0.710 0.543
O16 O 0.562 0.790 0.043
O17 O 0.615 0.074 0.279
O18 O 0.615 0.426 0.779
O19 O 0.682 0.060 0.923
O20 O 0.682 0.440 0.423
O21 O 0.748 0.600 0.876
O22 O 0.748 0.900 0.376
O23 O 0.755 0.029 0.676
O24 O 0.755 0.471 0.176
O25 O 0.782 0.222 0.834
O26 O 0.782 0.278 0.334
O27 O 0.990 0.684 0.354
O28 O 0.990 0.816 0.854
# Symmetry: P2_1/c, No. 14

#two
# PBE with a Hubbard U Li2CrP2O7, relaxed
data_Li2CrP2O7
_cell_length_a 5.329
_cell_length_b 8.615
_cell_length_c 7.142
_cell_angle_alpha 90.00
_cell_angle_beta 110.22
_cell_angle_gamma 90.00
_symmetry_space_group_name_H-M 'P 1'
_symmetry_Int_Tables_number 1
loop_
_symmetry_equiv_pos_as_xyz
'x,y,z'
loop_
_atom_site_label
_atom_site_type_symbol
_atom_site_fract_x
_atom_site_fract_y
_atom_site_fract_z
Li1 Li 0.083 0.000 0.364
Li2 Li 0.260 0.824 0.097
Li3 Li 0.740 0.324 0.903
Li4 Li 0.917 0.500 0.636
Cr1 Cr 0.042 0.143 0.732
Cr2 Cr 0.958 0.643 0.268
P1 P 0.326 0.439 0.071
P2 P 0.334 0.343 0.477
P3 P 0.666 0.843 0.523
P4 P 0.674 0.939 0.929
O1 O 0.130 0.357 0.884
O2 O 0.147 0.479 0.475
O3 O 0.202 0.594 0.102
O4 O 0.217 0.189 0.520
O5 O 0.331 0.321 0.250
O6 O 0.380 0.868 0.385
O7 O 0.392 0.954 0.932
O8 O 0.608 0.454 0.068
O9 O 0.620 0.368 0.615
O10 O 0.669 0.821 0.750
O11 O 0.783 0.689 0.480
O12 O 0.798 0.094 0.898
O13 O 0.853 0.979 0.525
O14 O 0.870 0.857 0.116
# Symmetry: P2_1, No. 4

#three
# PBE with a Hubbard U Li2CrP2O7, relaxed
data_Li2CrP2O7
_cell_length_a 5.988
_cell_length_b 7.317
_cell_length_c 9.542
_cell_angle_alpha 73.54
_cell_angle_beta 84.10
_cell_angle_gamma 75.66
_symmetry_space_group_name_H-M 'P 1'
_symmetry_Int_Tables_number 1
loop_
_symmetry_equiv_pos_as_xyz
'x,y,z'
loop_
_atom_site_label
_atom_site_type_symbol
_atom_site_fract_x
_atom_site_fract_y
_atom_site_fract_z
Li1 Li 0.001 0.289 0.414
Li2 Li 0.158 0.792 0.900
Li3 Li 0.842 0.208 0.100
Li4 Li 0.999 0.711 0.586
Cr1 Cr 0.007 0.281 0.758
Cr2 Cr 0.993 0.719 0.242
P1 P 0.254 0.374 0.099
P2 P 0.448 0.776 0.620
P3 P 0.552 0.224 0.380
P4 P 0.746 0.626 0.901
O1 O 0.081 0.268 0.198
O2 O 0.130 0.746 0.371
O3 O 0.153 0.071 0.856
O4 O 0.170 0.435 0.687
O5 O 0.189 0.605 0.112
O6 O 0.329 0.218 0.464
O7 O 0.484 0.702 0.792
O8 O 0.516 0.298 0.208
O9 O 0.671 0.782 0.536
O10 O 0.811 0.395 0.888
O11 O 0.830 0.565 0.313
O12 O 0.847 0.929 0.144
O13 O 0.870 0.254 0.629
O14 O 0.919 0.732 0.802
# Symmetry: P-1, No. 2

Bottom line: #two, by a margin of 15 meV per atom.